Record 1
Here is an optimized crystal structure of TiAg3Sn3S8 from the Alexandria database. Energies are from PBE.

DFT total energy ... -4.5521 eV/atom

The structure in CIF format:
```
data_TiAg3Sn3S8
_chemical_formula_sum 'Ti2 Ag6 Sn6 S16'
_cell_length_a 13.272
_cell_length_b 7.662
_cell_length_c 7.745
_cell_angle_alpha 90.00
_cell_angle_beta 124.89
_cell_angle_gamma 90.00
_space_group_name_H-M_alt 'C 1 2/m 1'
_space_group_IT_number 12
loop_
_space_group_symop_operation_xyz
'x,y,z'
'-x,-y,-z'
'-x,y,-z'
'x,-y,z'
'x+1/2,y+1/2,z'
'-x+1/2,-y+1/2,-z'
'-x+1/2,y+1/2,-z'
'x+1/2,-y+1/2,z'
loop_
_atom_site_label
_atom_site_type_symbol
_atom_site_fract_x
_atom_site_fract_y
_atom_site_fract_z
_atom_site_occupancy
Ti1 Ti 0.000 0.000 0.000 1
Ag1 Ag 0.000 0.000 0.500 1
Ag2 Ag 0.250 0.250 0.500 1
Sn1 Sn 0.000 0.500 0.000 1
Sn2 Sn 0.250 0.250 0.000 1
S1 S 0.003 0.231 0.777 1
S2 S 0.229 0.000 0.223 1
S3 S 0.248 0.000 0.744 1
```

Record 2
Here is an optimized crystal structure of La6CoPb2C from the Alexandria database. Energies are from PBE.

DFT total energy ... -5.6792 eV/atom

The structure in CIF format:
```
data_La6CoPb2C
_chemical_formula_sum 'La12 Co2 Pb4 C2'
_cell_length_a 10.516
_cell_length_b 10.876
_cell_length_c 7.437
_cell_angle_alpha 90.00
_cell_angle_beta 134.96
_cell_angle_gamma 90.00
_space_group_name_H-M_alt 'C 1 2/m 1'
_space_group_IT_number 12
loop_
_space_group_symop_operation_xyz
'x,y,z'
'-x,-y,-z'
'-x,y,-z'
'x,-y,z'
'x+1/2,y+1/2,z'
'-x+1/2,-y+1/2,-z'
'-x+1/2,y+1/2,-z'
'x+1/2,-y+1/2,z'
loop_
_atom_site_label
_atom_site_type_symbol
_atom_site_fract_x
_atom_site_fract_y
_atom_site_fract_z
_atom_site_occupancy
La1 La 0.000 0.236 0.000 1
La2 La 0.247 0.000 0.998 1
La3 La 0.249 0.000 0.496 1
Co1 Co 0.000 0.500 0.000 1
Pb1 Pb 0.000 0.250 0.500 1
C1 C 0.000 0.000 0.000 1
```

Record 3
Here is an optimized crystal structure of LaZnIn from the Alexandria database. Energies are from PBE.

DFT total energy ... -3.4388 eV/atom

The structure in CIF format:
```
data_LaZnIn
_chemical_formula_sum 'La2 Zn2 In2'
_cell_length_a 4.7954
_cell_length_b 4.7954
_cell_length_c 7.8664
_cell_angle_alpha 90.00
_cell_angle_beta 90.00
_cell_angle_gamma 120.00
_space_group_name_H-M_alt 'P 63/m m c'
_space_group_IT_number 194
_space_group_name_Hall '-P 6c 2c'
loop_
_atom_site_label
_atom_site_type_symbol
_atom_site_fract_x
_atom_site_fract_y
_atom_site_fract_z
_atom_site_occupancy
La1 La 0.0000 0.0000 0.0000 1
Zn1 Zn 0.3333 0.6667 0.2500 1
In1 In 0.3333 0.6667 0.7500 1
```

Record 4
Here is an optimized crystal structure of La4SbSe2N from the Alexandria database. Energies are from PBE.

DFT total energy ... -6.5097 eV/atom

The structure in CIF format:
```
data_La4SbSe2N
_chemical_formula_sum 'La16 Sb4 Se8 N4'
_cell_length_a 4.283
_cell_length_b 14.326
_cell_length_c 15.151
_cell_angle_alpha 90.00
_cell_angle_beta 90.00
_cell_angle_gamma 90.00
_space_group_name_H-M_alt 'C m c m'
_space_group_IT_number 63
_space_group_name_Hall '-C 2c 2'
loop_
_atom_site_label
_atom_site_type_symbol
_atom_site_fract_x
_atom_site_fract_y
_atom_site_fract_z
_atom_site_occupancy
La1 La 0.000 0.000 0.000 1
La2 La 0.000 0.269 0.131 1
La3 La 0.000 0.420 0.750 1
Sb1 Sb 0.000 0.100 0.750 1
Se1 Se 0.000 0.364 0.556 1
N1 N 0.000 0.170 0.250 1
```

Record 5
Here is an optimized crystal structure of Na2InSnS5 from the Alexandria database. Energies are from PBE.

DFT total energy ... -3.9045 eV/atom

The structure in CIF format:
```
data_Na2InSnS5
_chemical_formula_sum 'Na8 In4 Sn4 S20'
_cell_length_a 3.690
_cell_length_b 19.014
_cell_length_c 12.668
_cell_angle_alpha 90.00
_cell_angle_beta 90.00
_cell_angle_gamma 90.00
_space_group_name_H-M_alt 'C m c 21'
_space_group_IT_number 36
loop_
_space_group_symop_operation_xyz
'x,y,z'
'-x,-y,z+1/2'
'-x,y,z'
'x,-y,z+1/2'
'x+1/2,y+1/2,z'
'-x+1/2,-y+1/2,z+1/2'
'-x+1/2,y+1/2,z'
'x+1/2,-y+1/2,z+1/2'
loop_
_atom_site_label
_atom_site_type_symbol
_atom_site_fract_x
_atom_site_fract_y
_atom_site_fract_z
_atom_site_occupancy
Na1 Na 0.000 0.101 0.000 1
Na2 Na 0.000 0.119 0.649 1
In1 In 0.000 0.242 0.391 1
Sn1 Sn 0.000 0.430 0.787 1
S1 S 0.000 0.047 0.408 1
S2 S 0.000 0.271 0.029 1
S3 S 0.000 0.304 0.752 1
S4 S 0.000 0.366 0.332 1
S5 S 0.000 0.488 0.623 1
```

Record 6
Here is an optimized crystal structure of NdTl2Se2O6 from the Alexandria database. Energies are from PBE.

DFT total energy ... -5.5007 eV/atom

The structure in CIF format:
```
data_NdTl2Se2O6
_chemical_formula_sum 'Nd2 Tl4 Se4 O12'
_cell_length_a 9.834
_cell_length_b 6.023
_cell_length_c 7.686
_cell_angle_alpha 90.00
_cell_angle_beta 105.09
_cell_angle_gamma 90.00
_space_group_name_H-M_alt 'C 1 2/m 1'
_space_group_IT_number 12
loop_
_space_group_symop_operation_xyz
'x,y,z'
'-x,-y,-z'
'-x,y,-z'
'x,-y,z'
'x+1/2,y+1/2,z'
'-x+1/2,-y+1/2,-z'
'-x+1/2,y+1/2,-z'
'x+1/2,-y+1/2,z'
loop_
_atom_site_label
_atom_site_type_symbol
_atom_site_fract_x
_atom_site_fract_y
_atom_site_fract_z
_atom_site_occupancy
Nd1 Nd 0.000 0.000 0.000 1
Tl1 Tl 0.230 0.000 0.595 1
Se1 Se 0.105 0.500 0.738 1
O1 O 0.004 0.278 0.779 1
O2 O 0.248 0.000 0.084 1
```

Record 7
Here is an optimized crystal structure of CuH3Pd3 from the Alexandria database. Energies are from PBE.

Relative energy among the computed polymorphs ... 0.000 eV/atom

The structure in CIF format:
```
data_CuH3Pd3
_chemical_formula_sum 'Cu6 H18 Pd18'
_cell_length_a 6.5362
_cell_length_b 6.5362
_cell_length_c 11.4247
_cell_angle_alpha 90.00
_cell_angle_beta 90.00
_cell_angle_gamma 120.00
_space_group_name_H-M_alt 'R -3'
_space_group_IT_number 148
_space_group_name_Hall '-R 3'
loop_
_atom_site_label
_atom_site_type_symbol
_atom_site_fract_x
_atom_site_fract_y
_atom_site_fract_z
_atom_site_occupancy
Cu1 Cu 0.0000 0.0000 0.2106 1
H1 H 0.0103 0.6162 0.9114 1
Pd1 Pd 0.0442 0.2881 0.5958 1
```

Record 8
Here is an optimized crystal structure of TiNbB4 from the Alexandria database. Energies are from PBE.

DFT total energy ... -8.3218 eV/atom

The structure in CIF format:
```
data_TiNbB4
_chemical_formula_sum 'Ti2 Nb2 B8'
_cell_length_a 3.168
_cell_length_b 3.168
_cell_length_c 10.704
_cell_angle_alpha 90.00
_cell_angle_beta 90.00
_cell_angle_gamma 90.00
_space_group_name_H-M_alt 'I -4 m 2'
_space_group_IT_number 119
_space_group_name_Hall 'I -4 -2'
loop_
_atom_site_label
_atom_site_type_symbol
_atom_site_fract_x
_atom_site_fract_y
_atom_site_fract_z
_atom_site_occupancy
Ti1 Ti 0.000 0.000 0.000 1
Nb1 Nb 0.000 0.500 0.250 1
B1 B 0.000 0.000 0.419 1
B2 B 0.000 0.500 0.665 1
```

Record 9
Here is an optimized crystal structure of La2MgRh2 from the Alexandria database. Energies are from PBE.

DFT total energy ... -5.8295 eV/atom

The structure in CIF format:
```
data_La2MgRh2
_chemical_formula_sum 'La8 Mg4 Rh8'
_cell_length_a 7.909
_cell_length_b 10.615
_cell_length_c 5.923
_cell_angle_alpha 90.00
_cell_angle_beta 90.00
_cell_angle_gamma 90.00
_space_group_name_H-M_alt 'I b a m'
_space_group_IT_number 72
_space_group_name_Hall '-I 2 2c'
loop_
_atom_site_label
_atom_site_type_symbol
_atom_site_fract_x
_atom_site_fract_y
_atom_site_fract_z
_atom_site_occupancy
La1 La 0.145 0.157 0.000 1
Mg1 Mg 0.000 0.500 0.250 1
Rh1 Rh 0.239 0.099 0.500 1
```

Record 10
Here is an optimized crystal structure of Cu3Te4H2 from the Alexandria database. Energies are from PBE.

DFT total energy ... -3.4753 eV/atom

The structure in CIF format:
```
data_Cu3Te4H2
_chemical_formula_sum 'Cu6 Te8 H4'
_cell_length_a 6.957
_cell_length_b 11.908
_cell_length_c 6.394
_cell_angle_alpha 90.00
_cell_angle_beta 106.46
_cell_angle_gamma 90.00
_space_group_name_H-M_alt 'C 1 2/m 1'
_space_group_IT_number 12
loop_
_space_group_symop_operation_xyz
'x,y,z'
'-x,-y,-z'
'-x,y,-z'
'x,-y,z'
'x+1/2,y+1/2,z'
'-x+1/2,-y+1/2,-z'
'-x+1/2,y+1/2,-z'
'x+1/2,-y+1/2,z'
loop_
_atom_site_label
_atom_site_type_symbol
_atom_site_fract_x
_atom_site_fract_y
_atom_site_fract_z
_atom_site_occupancy
Cu1 Cu 0.000 0.000 0.000 1
Cu2 Cu 0.250 0.250 0.000 1
Te1 Te 0.060 0.168 0.268 1
H1 H 0.051 0.500 0.541 1
```

Record 11
Here is an optimized crystal structure of Ca7Zn2Hg2 from the Alexandria database. Energies are from PBE.

Relative energy among the computed polymorphs ... 0.000 eV/atom

The structure in CIF format:
```
data_Ca7Zn2Hg2
_chemical_formula_sum 'Ca14 Zn4 Hg4'
_cell_length_a 4.207
_cell_length_b 16.376
_cell_length_c 10.093
_cell_angle_alpha 90.00
_cell_angle_beta 90.00
_cell_angle_gamma 90.00
_space_group_name_H-M_alt 'I m m 2'
_space_group_IT_number 44
loop_
_space_group_symop_operation_xyz
'x,y,z'
'-x,-y,z'
'-x,y,z'
'x,-y,z'
'x+1/2,y+1/2,z+1/2'
'-x+1/2,-y+1/2,z+1/2'
'-x+1/2,y+1/2,z+1/2'
'x+1/2,-y+1/2,z+1/2'
loop_
_atom_site_label
_atom_site_type_symbol
_atom_site_fract_x
_atom_site_fract_y
_atom_site_fract_z
_atom_site_occupancy
Ca1 Ca 0.000 0.000 0.000 1
Ca2 Ca 0.000 0.115 0.415 1
Ca3 Ca 0.000 0.316 0.623 1
Ca4 Ca 0.000 0.361 0.246 1
Zn1 Zn 0.000 0.240 0.917 1
Hg1 Hg 0.000 0.000 0.675 1
Hg2 Hg 0.000 0.500 0.747 1
```

Record 12
Here is an optimized crystal structure of LaThTlOs from the Alexandria database. Energies are from PBE.

DFT total energy ... -6.6979 eV/atom

The structure in CIF format:
```
data_LaThTlOs
_chemical_formula_sum 'La2 Th2 Tl2 Os2'
_cell_length_a 7.215
_cell_length_b 4.174
_cell_length_c 8.552
_cell_angle_alpha 90.00
_cell_angle_beta 106.22
_cell_angle_gamma 90.00
_space_group_name_H-M_alt 'C 1 m 1'
_space_group_IT_number 8
loop_
_space_group_symop_operation_xyz
'x,y,z'
'x,-y,z'
'x+1/2,y+1/2,z'
'x+1/2,-y+1/2,z'
loop_
_atom_site_label
_atom_site_type_symbol
_atom_site_fract_x
_atom_site_fract_y
_atom_site_fract_z
_atom_site_occupancy
La1 La 0.000 0.000 0.000 1
Th1 Th 0.209 0.000 0.627 1
Tl1 Tl 0.273 0.500 0.319 1
Os1 Os 0.100 0.500 0.801 1
```